[1]
The following is a PBE-GGA calculation of crystalline Sr2NdCu3O6 at its relaxed geometry, from Alexandria via LeMat-Bulk.

a b c (Å): 3.850 3.850 11.765
angles (deg): 90.00 90.00 90.00
Space group P4/mmm (No. 123)
Inequivalent atoms, fractional coordinates:
1 Sr 0.000 0.000 0.195 (multiplicity 2)
2 Nd 0.000 0.000 0.500 (multiplicity 1)
3 Cu 0.500 0.500 0.000 (multiplicity 1)
4 Cu 0.500 0.500 0.349 (multiplicity 2)
5 O 0.000 0.500 0.367 (multiplicity 4)
6 O 0.500 0.500 0.154 (multiplicity 2)

=====

[2]
The following is a PBE-GGA calculation of crystalline SrNdCu2O5 at its relaxed geometry, from Alexandria via LeMat-Bulk.

a b c (Å): 3.891 3.891 7.594
angles (deg): 90.00 90.00 90.00
Space group P4/mmm (No. 123)
Inequivalent atoms, fractional coordinates:
1 Sr 0.000 0.000 0.000 (multiplicity 1)
2 Nd 0.000 0.000 0.500 (multiplicity 1)
3 Cu 0.500 0.500 0.260 (multiplicity 2)
4 O 0.000 0.500 0.299 (multiplicity 4)
5 O 0.500 0.500 0.000 (multiplicity 1)

=====

[3]
The following is a PBE-GGA calculation of crystalline Nd2CuTe2O at its relaxed geometry, from Alexandria via LeMat-Bulk.

a b c (Å): 3.518 3.518 15.644
angles (deg): 90.00 90.00 90.00
Space group P4/mmm (No. 123)
Inequivalent atoms, fractional coordinates:
1 Nd 0.000 0.000 0.134 (multiplicity 2)
2 Cu 0.000 0.000 0.500 (multiplicity 1)
3 Te 0.000 0.000 0.344 (multiplicity 2)
4 O 0.000 0.000 0.000 (multiplicity 1)

=====

[4]
The following is a PBE-GGA calculation of crystalline NdCu4Te3O12 at its relaxed geometry, from Alexandria via LeMat-Bulk.

a b c (Å): 11.0788 11.0788 7.6810
angles (deg): 90.00 90.00 120.00
Space group R32 (No. 155, hexagonal axes)
Inequivalent atoms, fractional coordinates:
1 Nd 0.0000 0.0000 0.0000 (multiplicity 3)
2 Cu 0.0000 0.0000 0.5000 (multiplicity 3)
3 Cu 0.0000 0.3994 0.5000 (multiplicity 9)
4 Te 0.0000 0.5662 0.0000 (multiplicity 9)
5 O 0.0000 0.5991 0.5000 (multiplicity 9)
6 O 0.0000 0.8293 0.5000 (multiplicity 9)
7 O 0.0588 0.2021 0.1973 (multiplicity 18)

=====

[5]
The following is a PBE-GGA calculation of crystalline NdTl4Cu3O12 at its relaxed geometry, from Alexandria via LeMat-Bulk.

a b c (Å): 8.080 8.080 8.080
angles (deg): 90.00 90.00 90.00
Space group Im-3 (No. 204)
Inequivalent atoms, fractional coordinates:
1 Nd 0.000 0.000 0.000 (multiplicity 2)
2 Tl 0.250 0.250 0.250 (multiplicity 8)
3 Cu 0.000 0.000 0.500 (multiplicity 6)
4 O 0.000 0.318 0.149 (multiplicity 24)

=====

| no. | raw total energy (eV/atom) | total magnetic moment (Bohr magnetons per cell) |
| --- | --- | --- |
| 1 | -6.05 | 0.0 |
| 2 | -6.20 | 0.9 |
| 3 | -4.63 | 0.0 |
| 4 | -5.52 | 0.0 |
| 5 | -5.10 | 0.0 |